Sc2SiIr2 | PBE | relaxed

POSCAR file:
```
Sc2SiIr2
1.0
6.333 0.000 0.000
0.000 6.333 0.000
0.000 0.000 4.351
Sc Si Ir
4 2 4
Cartesian
1.094 2.073 0.000
2.073 5.239 0.000
4.260 1.094 0.000
5.239 4.260 0.000
0.000 0.000 2.175
3.166 3.166 2.175
0.927 4.093 2.175
2.239 0.927 2.175
4.093 5.406 2.175
5.406 2.239 2.175
```

Summary:
**N(E_F)**: 11.4 states/eV/cell
**Size of the total moment**: 0.000 μB per cell
**Formation energy (no corrections)**: -3.85 eV/f.u.
**Final energy**: -7.933 eV/atom
**Calculated volume**: 174.5 Å³/cell



NpPN2 | PBE | relaxed

POSCAR file:
```
NpPN2
1.0
1.387 0.801 6.790
-1.387 0.801 6.790
0.000 -1.601 6.790
Np P N
1 1 2
Cartesian
0.000 0.000 0.000
0.000 0.000 10.185
0.000 0.000 2.446
0.000 0.000 17.924
```

Summary:
**N(E_F)**: 2.0 states/eV/cell
**Size of the total moment**: 3.737 μB per cell
**Formation energy (no corrections)**: 0.18 eV/f.u.
**Final energy**: -8.704 eV/atom
**Calculated volume**: 45.2 Å³/cell